[1]
# LiCrCl3 SCAN single point on PBEsol structure
# ΔE_f (raw) = -836.1 meV/atom
data_LiCrCl3
_chemical_formula_sum 'Li1 Cr1 Cl3'
_symmetry_space_group_name_H-M 'P m -3 m'
_symmetry_Int_Tables_number 221
_symmetry_space_group_name_Hall '-P 4 2 3'
_cell_length_a 4.545
_cell_length_b 4.545
_cell_length_c 4.545
_cell_angle_alpha 90.00
_cell_angle_beta 90.00
_cell_angle_gamma 90.00
loop_
_atom_site_label
_atom_site_fract_x
_atom_site_fract_y
_atom_site_fract_z
Li1 0.000 0.000 0.000
Cr1 0.500 0.500 0.500
Cl1 0.000 0.000 0.500

***

[2]
# LiCr3O SCAN single point on PBEsol structure
# ΔE_f (raw) = -82.0 meV/atom
data_LiCr3O
_chemical_formula_sum 'Li1 Cr3 O1'
_symmetry_space_group_name_H-M 'P m -3 m'
_symmetry_Int_Tables_number 221
_symmetry_space_group_name_Hall '-P 4 2 3'
_cell_length_a 3.758
_cell_length_b 3.758
_cell_length_c 3.758
_cell_angle_alpha 90.00
_cell_angle_beta 90.00
_cell_angle_gamma 90.00
loop_
_atom_site_label
_atom_site_fract_x
_atom_site_fract_y
_atom_site_fract_z
Li1 0.000 0.000 0.000
Cr1 0.000 0.500 0.500
O1 0.500 0.500 0.500

***

[3]
# InTcIr4 SCAN single point on PBEsol structure
# ΔE_f = 242 kJ/mol of formula units
data_InTcIr4
_chemical_formula_sum 'In4 Tc4 Ir16'
_symmetry_space_group_name_H-M 'F -4 3 m'
_symmetry_Int_Tables_number 216
_symmetry_space_group_name_Hall 'F -4 2 3'
_cell_length_a 7.262
_cell_length_b 7.262
_cell_length_c 7.262
_cell_angle_alpha 90.00
_cell_angle_beta 90.00
_cell_angle_gamma 90.00
loop_
_atom_site_label
_atom_site_fract_x
_atom_site_fract_y
_atom_site_fract_z
In1 0.000 0.000 0.000
Tc1 0.250 0.250 0.750
Ir1 0.125 0.125 0.375

***

no.,calculated volume (Å³/atom)
1,18.77
2,10.61
3,15.95